Density functional theory data (PBE) for crystalline NaCaAlH6 at its relaxed geometry. Values from VASP.

## Properties
electronic total energy: -3.263 eV per atom
M_tot: 0.000 μB/atom

Quantum ESPRESSO input file:
```
&SYSTEM
  ibrav = 0, nat = 18, ntyp = 4
/
ATOMIC_SPECIES
Na 22.99 Na.upf
Ca 40.08 Ca.upf
Al 26.98 Al.upf
H 1.01 H.upf
ATOMIC_POSITIONS crystal
Na 0.0000 0.0000 0.0000
Na 0.5000 0.5000 0.5000
Ca 0.0000 0.0000 0.3318
Ca 0.5000 0.5000 0.8318
Al 0.0000 0.0000 0.6670
Al 0.5000 0.5000 0.1670
H 0.1775 0.1775 0.5307
H 0.1769 0.1769 0.8029
H 0.2382 0.2382 0.1681
H 0.2618 0.7382 0.6681
H 0.3225 0.6775 0.0307
H 0.3231 0.6769 0.3029
H 0.6775 0.3225 0.0307
H 0.6769 0.3231 0.3029
H 0.7382 0.2618 0.6681
H 0.7618 0.7618 0.1681
H 0.8225 0.8225 0.5307
H 0.8231 0.8231 0.8029
CELL_PARAMETERS angstrom
4.7217 0.0000 0.0000
0.0000 4.7217 0.0000
0.0000 0.0000 9.5437
```

---

Density functional theory data (PBE) for crystalline CaNb2AlH at its relaxed geometry. Values from VASP.

## Properties
electronic total energy: -5.766 eV per atom
M_tot: 0.000 μB/atom

Quantum ESPRESSO input file:
```
&SYSTEM
  ibrav = 0, nat = 5, ntyp = 4
/
ATOMIC_SPECIES
Ca 40.08 Ca.upf
Nb 92.91 Nb.upf
Al 26.98 Al.upf
H 1.01 H.upf
ATOMIC_POSITIONS crystal
Ca 0.0000 0.0000 0.0000
Nb 0.0000 0.5000 0.5000
Nb 0.5000 0.0000 0.5000
Al 0.5000 0.5000 0.0000
H 0.0000 0.0000 0.5000
CELL_PARAMETERS angstrom
4.1710 0.0000 0.0000
0.0000 4.1710 0.0000
0.0000 0.0000 4.7708
```

---

Density functional theory data (PBE) for crystalline Ca3Al2H12O12 at its relaxed geometry. Values from VASP.

## Properties
electronic total energy: -5.720 eV per atom
M_tot: 0.000 μB/atom

Quantum ESPRESSO input file:
```
&SYSTEM
  ibrav = 0, nat = 116, ntyp = 4
/
ATOMIC_SPECIES
Ca 40.08 Ca.upf
Al 26.98 Al.upf
H 1.01 H.upf
O 16.00 O.upf
ATOMIC_POSITIONS crystal
Ca 0.1250 0.2500 0.3750
Ca 0.1250 0.3750 0.7500
Ca 0.2500 0.3750 0.1250
Ca 0.2500 0.8750 0.6250
Ca 0.3750 0.1250 0.2500
Ca 0.3750 0.7500 0.1250
Ca 0.6250 0.2500 0.8750
Ca 0.6250 0.8750 0.7500
Ca 0.7500 0.1250 0.3750
Ca 0.7500 0.6250 0.8750
Ca 0.8750 0.6250 0.2500
Ca 0.8750 0.7500 0.6250
Al 0.0000 0.0000 0.0000
Al 0.0000 0.0000 0.5000
Al 0.0000 0.5000 0.0000
Al 0.0000 0.5000 0.5000
Al 0.5000 0.0000 0.0000
Al 0.5000 0.0000 0.5000
Al 0.5000 0.5000 0.0000
Al 0.5000 0.5000 0.5000
H 0.0514 0.7606 0.1106
H 0.0514 0.7908 0.9408
H 0.0592 0.6106 0.8500
H 0.0592 0.9486 0.2092
H 0.1106 0.0514 0.7606
H 0.1106 0.5592 0.3500
H 0.1500 0.7092 0.7606
H 0.1500 0.9408 0.3894
H 0.2092 0.0592 0.9486
H 0.2092 0.6500 0.2606
H 0.2394 0.8500 0.2908
H 0.2394 0.8894 0.9486
H 0.2606 0.2092 0.6500
H 0.2606 0.5514 0.6106
H 0.2908 0.2394 0.8500
H 0.2908 0.5514 0.4408
H 0.3500 0.1106 0.5592
H 0.3500 0.7394 0.7908
H 0.3894 0.1500 0.9408
H 0.3894 0.7394 0.4486
H 0.4408 0.2908 0.5514
H 0.4408 0.6500 0.8894
H 0.4486 0.3894 0.7394
H 0.4486 0.5592 0.7092
H 0.5514 0.4408 0.2908
H 0.5514 0.6106 0.2606
H 0.5592 0.3500 0.1106
H 0.5592 0.7092 0.4486
H 0.6106 0.2606 0.5514
H 0.6106 0.8500 0.0592
H 0.6500 0.2606 0.2092
H 0.6500 0.8894 0.4408
H 0.7092 0.4486 0.5592
H 0.7092 0.7606 0.1500
H 0.7394 0.4486 0.3894
H 0.7394 0.7908 0.3500
H 0.7606 0.1106 0.0514
H 0.7606 0.1500 0.7092
H 0.7908 0.3500 0.7394
H 0.7908 0.9408 0.0514
H 0.8500 0.0592 0.6106
H 0.8500 0.2908 0.2394
H 0.8894 0.4408 0.6500
H 0.8894 0.9486 0.2394
H 0.9408 0.0514 0.7908
H 0.9408 0.3894 0.1500
H 0.9486 0.2092 0.0592
H 0.9486 0.2394 0.8894
O 0.0252 0.1920 0.1128
O 0.0252 0.3331 0.9124
O 0.0793 0.6920 0.6669
O 0.0793 0.8872 0.4124
O 0.0876 0.6128 0.4207
O 0.0876 0.9748 0.6669
O 0.1128 0.0252 0.1920
O 0.1128 0.5876 0.9207
O 0.1669 0.1920 0.5793
O 0.1669 0.4748 0.5876
O 0.1920 0.1128 0.0252
O 0.1920 0.5793 0.1669
O 0.3080 0.3331 0.9207
O 0.3080 0.4748 0.3872
O 0.3331 0.9124 0.0252
O 0.3331 0.9207 0.3080
O 0.3872 0.3080 0.4748
O 0.3872 0.5793 0.9124
O 0.4124 0.0793 0.8872
O 0.4124 0.8331 0.5252
O 0.4207 0.0876 0.6128
O 0.4207 0.8331 0.8080
O 0.4748 0.3872 0.3080
O 0.4748 0.5876 0.1669
O 0.5252 0.4124 0.8331
O 0.5252 0.6128 0.6920
O 0.5793 0.1669 0.1920
O 0.5793 0.9124 0.3872
O 0.5876 0.1669 0.4748
O 0.5876 0.9207 0.1128
O 0.6128 0.4207 0.0876
O 0.6128 0.6920 0.5252
O 0.6669 0.0793 0.6920
O 0.6669 0.0876 0.9748
O 0.6920 0.5252 0.6128
O 0.6920 0.6669 0.0793
O 0.8080 0.4207 0.8331
O 0.8080 0.8872 0.9748
O 0.8331 0.5252 0.4124
O 0.8331 0.8080 0.4207
O 0.8872 0.4124 0.0793
O 0.8872 0.9748 0.8080
O 0.9124 0.0252 0.3331
O 0.9124 0.3872 0.5793
O 0.9207 0.1128 0.5876
O 0.9207 0.3080 0.3331
O 0.9748 0.6669 0.0876
O 0.9748 0.8080 0.8872
CELL_PARAMETERS angstrom
-6.3539 6.3539 6.3539
6.3539 -6.3539 6.3539
6.3539 6.3539 -6.3539
```

---

Density functional theory data (PBE) for crystalline CaAl2HO at its relaxed geometry. Values from VASP.

## Properties
electronic total energy: -3.965 eV per atom
M_tot: 0.000 μB/atom

Quantum ESPRESSO input file:
```
&SYSTEM
  ibrav = 0, nat = 5, ntyp = 4
/
ATOMIC_SPECIES
Ca 40.08 Ca.upf
Al 26.98 Al.upf
H 1.01 H.upf
O 16.00 O.upf
ATOMIC_POSITIONS crystal
Ca 0.0000 0.0000 0.0000
Al 0.0000 0.5000 0.5000
Al 0.5000 0.0000 0.5000
H 0.5000 0.5000 0.5000
O 0.5000 0.5000 0.0000
CELL_PARAMETERS angstrom
3.6487 0.0000 0.0000
0.0000 3.6487 0.0000
0.0000 0.0000 6.0800
```

---

Density functional theory data (PBE) for crystalline CaAl2HO at its relaxed geometry. Values from VASP.

## Properties
electronic total energy: -2.563 eV per atom
M_tot: 0.005 μB/atom

Quantum ESPRESSO input file:
```
&SYSTEM
  ibrav = 0, nat = 5, ntyp = 4
/
ATOMIC_SPECIES
Ca 40.08 Ca.upf
Al 26.98 Al.upf
H 1.01 H.upf
O 16.00 O.upf
ATOMIC_POSITIONS crystal
Ca 0.0000 0.0000 0.0000
Al 0.0000 0.5000 0.0000
Al 0.5000 0.0000 0.0000
H 0.0000 0.0000 0.5000
O 0.5000 0.5000 0.5000
CELL_PARAMETERS angstrom
5.7526 0.0000 0.0000
0.0000 5.7526 0.0000
0.0000 0.0000 3.8038
```

---

Density functional theory data (PBE) for crystalline CaAl6H12S4O28 at its relaxed geometry. Values from VASP.

## Properties
electronic total energy: -6.179 eV per atom
M_tot: 0.000 μB/atom

Quantum ESPRESSO input file:
```
&SYSTEM
  ibrav = 0, nat = 51, ntyp = 5
/
ATOMIC_SPECIES
Ca 40.08 Ca.upf
Al 26.98 Al.upf
H 1.01 H.upf
S 32.06 S.upf
O 16.00 O.upf
ATOMIC_POSITIONS crystal
Ca 0.0000 0.0000 0.0000
Al 0.2496 0.2496 0.7458
Al 0.2496 0.7458 0.2496
Al 0.2542 0.7504 0.7504
Al 0.7458 0.2496 0.2496
Al 0.7504 0.2542 0.7504
Al 0.7504 0.7504 0.2542
H 0.0750 0.6329 0.6329
H 0.1431 0.1431 0.5454
H 0.1431 0.5454 0.1431
H 0.3671 0.3671 0.9250
H 0.3671 0.9250 0.3671
H 0.4546 0.8569 0.8569
H 0.5454 0.1431 0.1431
H 0.6329 0.0750 0.6329
H 0.6329 0.6329 0.0750
H 0.8569 0.4546 0.8569
H 0.8569 0.8569 0.4546
H 0.9250 0.3671 0.3671
S 0.1496 0.1496 0.1496
S 0.3440 0.3440 0.3440
S 0.6560 0.6560 0.6560
S 0.8504 0.8504 0.8504
O 0.0576 0.0576 0.6933
O 0.0576 0.6933 0.0576
O 0.0961 0.7500 0.7500
O 0.1656 0.5564 0.5564
O 0.1926 0.1926 0.1926
O 0.2436 0.2436 0.5894
O 0.2436 0.5894 0.2436
O 0.2500 0.2500 0.9039
O 0.2500 0.9039 0.2500
O 0.3009 0.3009 0.3009
O 0.3067 0.9424 0.9424
O 0.4106 0.7564 0.7564
O 0.4436 0.4436 0.8344
O 0.4436 0.8344 0.4436
O 0.5564 0.1656 0.5564
O 0.5564 0.5564 0.1656
O 0.5894 0.2436 0.2436
O 0.6933 0.0576 0.0576
O 0.6991 0.6991 0.6991
O 0.7500 0.0961 0.7500
O 0.7500 0.7500 0.0961
O 0.7564 0.4106 0.7564
O 0.7564 0.7564 0.4106
O 0.8074 0.8074 0.8074
O 0.8344 0.4436 0.4436
O 0.9039 0.2500 0.2500
O 0.9424 0.3067 0.9424
O 0.9424 0.9424 0.3067
CELL_PARAMETERS angstrom
3.5229 2.0339 11.3248
-3.5229 2.0339 11.3248
0.0000 -4.0679 11.3248
```

---

Density functional theory data (PBE) for crystalline CaAl2Si6H10O21 at its relaxed geometry. Values from VASP.

## Properties
electronic total energy: -6.699 eV per atom
M_tot: 0.000 μB/atom

Quantum ESPRESSO input file:
```
&SYSTEM
  ibrav = 0, nat = 80, ntyp = 5
/
ATOMIC_SPECIES
Ca 40.08 Ca.upf
Al 26.98 Al.upf
Si 28.09 Si.upf
H 1.01 H.upf
O 16.00 O.upf
ATOMIC_POSITIONS crystal
Ca 0.1885 0.0000 0.1490
Ca 0.8115 0.5000 0.8510
Al 0.2570 0.1263 0.5638
Al 0.4076 0.3569 0.7530
Al 0.5924 0.8569 0.2470
Al 0.7430 0.6263 0.4362
Si 0.1358 0.2877 0.3988
Si 0.1732 0.6171 0.4093
Si 0.2814 0.7350 0.7378
Si 0.3775 0.7008 0.1606
Si 0.4002 0.3612 0.1865
Si 0.4812 0.4893 0.4810
Si 0.5188 0.9893 0.5190
Si 0.5998 0.8612 0.8135
Si 0.6225 0.2008 0.8394
Si 0.7186 0.2350 0.2622
Si 0.8268 0.1171 0.5907
Si 0.8642 0.7877 0.6012
H 0.0083 0.8581 0.2962
H 0.0170 0.4197 0.1957
H 0.0254 0.1491 0.9811
H 0.0632 0.9955 0.7420
H 0.1642 0.1647 0.1804
H 0.2034 0.8385 0.2503
H 0.2154 0.4652 0.8955
H 0.2261 0.5521 0.8679
H 0.4196 0.0831 0.9380
H 0.4613 0.9978 0.9186
H 0.5387 0.4978 0.0814
H 0.5804 0.5831 0.0620
H 0.7739 0.0521 0.1321
H 0.7846 0.9652 0.1045
H 0.7966 0.3385 0.7497
H 0.8358 0.6647 0.8196
H 0.9368 0.4955 0.2580
H 0.9746 0.6491 0.0189
H 0.9830 0.9197 0.8043
H 0.9917 0.3581 0.7038
O 0.0469 0.1004 0.6167
O 0.0838 0.9574 0.8406
O 0.0934 0.7870 0.6785
O 0.1056 0.8778 0.2397
O 0.1366 0.5103 0.8536
O 0.1383 0.1306 0.0714
O 0.1940 0.3272 0.6014
O 0.1984 0.6651 0.2281
O 0.2050 0.3408 0.2455
O 0.2161 0.2017 0.4029
O 0.2746 0.6669 0.5911
O 0.2828 0.5361 0.4224
O 0.3033 0.6929 0.9354
O 0.3373 0.0462 0.4627
O 0.3621 0.3784 0.9679
O 0.4115 0.7889 0.2211
O 0.4333 0.1507 0.7637
O 0.4387 0.0349 0.0079
O 0.4598 0.7897 0.7455
O 0.4888 0.4390 0.2967
O 0.4967 0.4365 0.6616
O 0.5033 0.9365 0.3384
O 0.5112 0.9390 0.7033
O 0.5402 0.2897 0.2545
O 0.5613 0.5349 0.9921
O 0.5667 0.6507 0.2363
O 0.5885 0.2889 0.7789
O 0.6379 0.8784 0.0321
O 0.6627 0.5462 0.5373
O 0.6967 0.1929 0.0646
O 0.7172 0.0361 0.5776
O 0.7254 0.1669 0.4089
O 0.7839 0.7017 0.5971
O 0.7950 0.8408 0.7545
O 0.8016 0.1651 0.7719
O 0.8060 0.8272 0.3986
O 0.8617 0.6306 0.9286
O 0.8634 0.0103 0.1464
O 0.8944 0.3778 0.7603
O 0.9066 0.2870 0.3215
O 0.9162 0.4574 0.1594
O 0.9531 0.6004 0.3833
CELL_PARAMETERS angstrom
7.3607 0.0000 0.0000
0.0000 17.6452 0.0000
-1.9509 0.0000 7.2399
```

---

Density functional theory data (PBE) for crystalline CaAlPH2 at its relaxed geometry. Values from VASP.

## Properties
electronic total energy: -3.982 eV per atom
M_tot: 0.000 μB/atom

Quantum ESPRESSO input file:
```
&SYSTEM
  ibrav = 0, nat = 10, ntyp = 4
/
ATOMIC_SPECIES
Ca 40.08 Ca.upf
Al 26.98 Al.upf
P 30.97 P.upf
H 1.01 H.upf
ATOMIC_POSITIONS crystal
Ca 0.0000 0.5000 0.5000
Ca 0.5000 0.0000 0.5000
Al 0.1796 0.1796 0.0000
Al 0.6796 0.6796 0.0000
P 0.4237 0.4237 0.0000
P 0.9237 0.9237 0.0000
H 0.4146 0.9146 0.9983
H 0.4163 0.4146 0.5000
H 0.9146 0.9163 0.5000
H 0.9163 0.4163 0.0017
CELL_PARAMETERS angstrom
-2.7593 2.7593 4.7737
2.7593 -2.7593 4.7737
2.7593 2.7593 -4.7737
```